Pm7HoIr4 (PBE-GGA, relaxed); symmetry = C2/m, No. 12; energy relative to the elements = -284 meV per atom
1.0
6.9661 -2.7228 0.0000
6.9661 2.7228 0.0000
-6.1677 0.0000 8.3806
Pm Ho Ir
7 1 4
direct
0.0000 0.0000 0.0000
0.1647 0.1647 0.6213
0.2919 0.2919 0.1271
0.4071 0.4071 0.6231
0.5929 0.5929 0.3769
0.7081 0.7081 0.8729
0.8353 0.8353 0.3787
0.5000 0.5000 0.0000
0.0654 0.0654 0.7852
0.2012 0.2012 0.3214
0.7988 0.7988 0.6786
0.9346 0.9346 0.2148